(1)
# PBE LiDy5Rh4, relaxed
# * E_form: -0.696 eV/atom
data_LiDy5Rh4
_symmetry_space_group_name_H-M 'P 4/m m m'
_symmetry_Int_Tables_number 123
_symmetry_space_group_name_Hall '-P 4 2'
_cell_length_a 3.4515
_cell_length_b 3.4515
_cell_length_c 17.9087
_cell_angle_alpha 90.00
_cell_angle_beta 90.00
_cell_angle_gamma 90.00
loop_
_atom_site_label
_atom_site_type_symbol
_atom_site_fract_x
_atom_site_fract_y
_atom_site_fract_z
_atom_site_occupancy
Li1 Li 0.0000 0.0000 0.0000 1
Dy1 Dy 0.5000 0.5000 0.1233 1
Dy2 Dy 0.5000 0.5000 0.3102 1
Dy3 Dy 0.5000 0.5000 0.5000 1
Rh1 Rh 0.0000 0.0000 0.2106 1
Rh2 Rh 0.0000 0.0000 0.4046 1

(2)
# PBE CoSbOs2, relaxed
# * relative energy among the computed polymorphs: 130.9 meV/atom
# * energy relative to the elements, uncorrected: 0.58 eV/atom
data_CoSbOs2
_symmetry_space_group_name_H-M 'R 3 m'
_symmetry_Int_Tables_number 160
_symmetry_space_group_name_Hall 'R 3 -2"'
_cell_length_a 2.8981
_cell_length_b 2.8981
_cell_length_c 25.3830
_cell_angle_alpha 90.00
_cell_angle_beta 90.00
_cell_angle_gamma 120.00
loop_
_atom_site_label
_atom_site_type_symbol
_atom_site_fract_x
_atom_site_fract_y
_atom_site_fract_z
_atom_site_occupancy
Co1 Co 0.0000 0.0000 0.0000 1
Sb1 Sb 0.0000 0.0000 0.7471 1
Os1 Os 0.0000 0.0000 0.2527 1
Os2 Os 0.0000 0.0000 0.5050 1

(3)
# PBE AcTePt, relaxed
# * relative energy among the computed polymorphs: 128.0 meV/atom
# * energy relative to the elements, uncorrected: -1.01 eV/atom
data_AcTePt
_symmetry_space_group_name_H-M 'F -4 3 m'
_symmetry_Int_Tables_number 216
_symmetry_space_group_name_Hall 'F -4 2 3'
_cell_length_a 7.1322
_cell_length_b 7.1322
_cell_length_c 7.1322
_cell_angle_alpha 90.00
_cell_angle_beta 90.00
_cell_angle_gamma 90.00
loop_
_atom_site_label
_atom_site_type_symbol
_atom_site_fract_x
_atom_site_fract_y
_atom_site_fract_z
_atom_site_occupancy
Ac1 Ac 0.0000 0.0000 0.0000 1
Te1 Te 0.0000 0.0000 0.5000 1
Pt1 Pt 0.2500 0.2500 0.2500 1

(4)
# PBE NiAs2W, relaxed
# * E_form: 0.038 eV/atom
# * relative energy among the computed polymorphs: 0.0 meV/atom
data_NiAs2W
_symmetry_space_group_name_H-M 'P 4 m m'
_symmetry_Int_Tables_number 99
_cell_length_a 3.3657
_cell_length_b 3.3657
_cell_length_c 5.3492
_cell_angle_alpha 90.00
_cell_angle_beta 90.00
_cell_angle_gamma 90.00
loop_
_symmetry_equiv_pos_as_xyz
'x,y,z'
'-y,x,z'
'-x,-y,z'
'y,-x,z'
'-x,y,z'
'y,x,z'
'x,-y,z'
'-y,-x,z'
loop_
_atom_site_label
_atom_site_type_symbol
_atom_site_fract_x
_atom_site_fract_y
_atom_site_fract_z
_atom_site_occupancy
Ni1 Ni 0.0000 0.0000 0.0000 1
As1 As 0.0000 0.0000 0.5223 1
As2 As 0.5000 0.5000 0.8710 1
W1 W 0.5000 0.5000 0.3327 1

(5)
# PBE Ce3Y2ErSb6, relaxed
# * energy relative to the elements, uncorrected: -1.09 eV/atom
data_Ce3Y2ErSb6
_symmetry_space_group_name_H-M 'C 1 2/m 1'
_symmetry_Int_Tables_number 12
_cell_length_a 7.6956
_cell_length_b 13.3274
_cell_length_c 7.6829
_cell_angle_alpha 90.00
_cell_angle_beta 109.51
_cell_angle_gamma 90.00
loop_
_symmetry_equiv_pos_as_xyz
'x,y,z'
'-x,-y,-z'
'-x,y,-z'
'x,-y,z'
'x+1/2,y+1/2,z'
'-x+1/2,-y+1/2,-z'
'-x+1/2,y+1/2,-z'
'x+1/2,-y+1/2,z'
loop_
_atom_site_label
_atom_site_type_symbol
_atom_site_fract_x
_atom_site_fract_y
_atom_site_fract_z
_atom_site_occupancy
Ce1 Ce 0.0000 0.0000 0.0000 1
Ce2 Ce 0.0000 0.3327 0.0000 1
Y1 Y 0.0000 0.1664 0.5000 1
Er1 Er 0.0000 0.5000 0.5000 1
Sb1 Sb 0.2467 0.3341 0.7429 1
Sb2 Sb 0.2496 0.0000 0.7437 1

(6)
# PBE Ta4TcCl, relaxed
# * energy relative to the elements, uncorrected: 0.91 eV/atom
data_Ta4TcCl
_symmetry_space_group_name_H-M 'F -4 3 m'
_symmetry_Int_Tables_number 216
_symmetry_space_group_name_Hall 'F -4 2 3'
_cell_length_a 7.6886
_cell_length_b 7.6886
_cell_length_c 7.6886
_cell_angle_alpha 90.00
_cell_angle_beta 90.00
_cell_angle_gamma 90.00
loop_
_atom_site_label
_atom_site_type_symbol
_atom_site_fract_x
_atom_site_fract_y
_atom_site_fract_z
_atom_site_occupancy
Ta1 Ta 0.1242 0.1242 0.1242 1
Tc1 Tc 0.2500 0.2500 0.7500 1
Cl1 Cl 0.0000 0.0000 0.5000 1

(7)
# PBE RbZr3Hg, relaxed
# * E_form: 1.969 eV/atom
# * relative energy among the computed polymorphs: 799.3 meV/atom
data_RbZr3Hg
_symmetry_space_group_name_H-M 'P m -3 m'
_symmetry_Int_Tables_number 221
_symmetry_space_group_name_Hall '-P 4 2 3'
_cell_length_a 5.0541
_cell_length_b 5.0541
_cell_length_c 5.0541
_cell_angle_alpha 90.00
_cell_angle_beta 90.00
_cell_angle_gamma 90.00
loop_
_atom_site_label
_atom_site_type_symbol
_atom_site_fract_x
_atom_site_fract_y
_atom_site_fract_z
_atom_site_occupancy
Rb1 Rb 0.0000 0.0000 0.0000 1
Zr1 Zr 0.0000 0.0000 0.5000 1
Hg1 Hg 0.5000 0.5000 0.5000 1

(8)
# PBE La2Dy3Er2, relaxed
# * E_form: 0.132 eV/atom
# * relative energy among the computed polymorphs: 109.6 meV/atom
data_La2Dy3Er2
_symmetry_space_group_name_H-M 'C 1 2/m 1'
_symmetry_Int_Tables_number 12
_cell_length_a 17.6667
_cell_length_b 3.5186
_cell_length_c 8.5868
_cell_angle_alpha 90.00
_cell_angle_beta 118.92
_cell_angle_gamma 90.00
loop_
_symmetry_equiv_pos_as_xyz
'x,y,z'
'-x,-y,-z'
'-x,y,-z'
'x,-y,z'
'x+1/2,y+1/2,z'
'-x+1/2,-y+1/2,-z'
'-x+1/2,y+1/2,-z'
'x+1/2,-y+1/2,z'
loop_
_atom_site_label
_atom_site_type_symbol
_atom_site_fract_x
_atom_site_fract_y
_atom_site_fract_z
_atom_site_occupancy
La1 La 0.0668 0.0000 0.2176 1
Dy1 Dy 0.0000 0.5000 0.5000 1
Dy2 Dy 0.2117 0.5000 0.6266 1
Er1 Er 0.1533 0.5000 0.9658 1